# 1
Entry from Alexandria via LeMat-Bulk: a geometry-optimized CePm3Sb2 structure (GGA-PBE).

Cell: 7.293 14.695 7.693 Å, 90.00 90.00 90.00°
Space group Ibam (No. 72)
Unique sites:
1 Ce 0.000 0.000 0.000
2 Pm 0.000 0.205 0.250
3 Pm 0.000 0.500 0.250
4 Sb 0.173 0.352 0.000

## Properties
total energy = -5.307 eV per atom
energy relative to the elements, uncorrected = -569 meV per atom
volume = 824.5 Å³ per cell
D(E_F) = 10.58 states/eV/f.u.



# 2
Entry from Alexandria via LeMat-Bulk: a geometry-optimized Ac3Cu2Au structure (GGA-PBE).

Cell: 3.837 3.837 11.571 Å, 90.00 90.00 90.00°
Space group P4/mmm (No. 123)
Unique sites:
1 Ac 0.000 0.000 0.000
2 Ac 0.000 0.000 0.329
3 Cu 0.500 0.500 0.162
4 Au 0.500 0.500 0.500

## Properties
total energy = -4.281 eV per atom
formation energy from the elements = -0.32 eV/atom
volume = 170.4 Å³ per cell
D(E_F) = 3.75 states/eV/f.u.



# 3
Entry from Alexandria via LeMat-Bulk: a geometry-optimized RbMgAgSb2 structure (GGA-PBE).

Cell: 4.985 4.985 11.992 Å, 90.00 90.00 90.00°
Space group I-4m2 (No. 119)
Unique sites:
1 Rb 0.000 0.000 0.000
2 Mg 0.000 0.500 0.750
3 Ag 0.000 0.500 0.250
4 Sb 0.000 0.000 0.375

## Properties
total energy = -3.047 eV per atom
energy relative to the elements, uncorrected = -315 meV per atom
volume = 298.0 Å³ per cell
D(E_F) = 0.94 states/eV/f.u.



# 4
Entry from Alexandria via LeMat-Bulk: a geometry-optimized LaDy5Cd4 structure (GGA-PBE).

Cell: 3.722 3.722 20.160 Å, 90.00 90.00 90.00°
Space group P4/mmm (No. 123)
Unique sites:
1 La 0.000 0.000 0.000
2 Dy 0.500 0.500 0.126
3 Dy 0.500 0.500 0.313
4 Dy 0.500 0.500 0.500
5 Cd 0.000 0.000 0.219
6 Cd 0.000 0.000 0.406

## Properties
total energy = -3.406 eV per atom
formation energy from the elements = -0.25 eV/atom
volume = 279.3 Å³ per cell
D(E_F) = 13.49 states/eV/f.u.



# 5
Entry from Alexandria via LeMat-Bulk: a geometry-optimized CsLaCd2 structure (GGA-PBE).

Cell: 8.350 8.350 8.350 Å, 90.00 90.00 90.00°
Space group Fm-3m (No. 225)
Unique sites:
1 Cs 0.000 0.000 0.000
2 La 0.000 0.000 0.500
3 Cd 0.250 0.250 0.250

## Properties
total energy = -1.776 eV per atom
formation energy from the elements = 0.13 eV/atom
volume = 582.2 Å³ per cell
D(E_F) = 3.33 states/eV/f.u.



# 6
Entry from Alexandria via LeMat-Bulk: a geometry-optimized Y2CuBr structure (GGA-PBE).

Cell: 7.515 7.515 7.492 Å, 90.00 90.00 90.00°
Space group I-42d (No. 122)
Unique sites:
1 Y 0.232 0.250 0.125
2 Cu 0.000 0.000 0.000
3 Br 0.000 0.000 0.500

## Properties
total energy = -4.971 eV per atom
energy relative to the elements, uncorrected = -297 meV per atom
volume = 423.1 Å³ per cell
D(E_F) = 6.81 states/eV/f.u.



# 7
Entry from Alexandria via LeMat-Bulk: a geometry-optimized Ce2CuAu2 structure (GGA-PBE).

Cell: 3.582 4.414 14.091 Å, 90.00 90.00 90.00°
Space group Amm2 (No. 38)
Unique sites:
1 Ce 0.000 0.000 0.000
2 Ce 0.000 0.000 0.230
3 Cu 0.500 0.000 0.419
4 Au 0.500 0.000 0.610
5 Au 0.500 0.000 0.818

## Properties
total energy = -4.996 eV per atom
formation energy from the elements = -0.49 eV/atom
volume = 222.8 Å³ per cell
D(E_F) = 11.37 states/eV/f.u.



# 8
Entry from Alexandria via LeMat-Bulk: a geometry-optimized Sr3ZrF structure (GGA-PBE).

Cell: 5.436 5.436 5.436 Å, 90.00 90.00 90.00°
Space group Pm-3m (No. 221)
Unique sites:
1 Sr 0.000 0.000 0.500
2 Zr 0.500 0.500 0.500
3 F 0.000 0.000 0.000

## Properties
total energy = -3.782 eV per atom
energy relative to the elements, uncorrected = -689 meV per atom
volume = 160.6 Å³ per cell
D(E_F) = 5.13 states/eV/f.u.



# 9
Entry from Alexandria via LeMat-Bulk: a geometry-optimized Nb2VMo4W2 structure (GGA-PBE).

Cell: 13.530 3.187 7.109 Å, 90.00 108.50 90.00°
Space group C2/m (No. 12)
Unique sites:
1 Nb 0.164 0.000 0.001
2 V 0.000 0.500 0.000
3 Mo 0.055 0.000 0.333
4 Mo 0.222 0.500 0.338
5 W 0.109 0.500 0.662

## Properties
total energy = -11.016 eV per atom
formation energy from the elements = -0.07 eV/atom
volume = 290.6 Å³ per cell
D(E_F) = 5.04 states/eV/f.u.



# 10
Entry from Alexandria via LeMat-Bulk: a geometry-optimized Tb3PaRu4 structure (GGA-PBE).

Cell: 14.274 4.840 4.861 Å, 90.00 106.37 90.00°
Space group C2/m (No. 12)
Unique sites:
1 Tb 0.000 0.000 0.000
2 Tb 0.248 0.000 0.244
3 Pa 0.000 0.500 0.500
4 Ru 0.115 0.500 0.150
5 Ru 0.116 0.000 0.612

## Properties
total energy = -8.002 eV per atom
formation energy from the elements = -0.44 eV/atom
volume = 322.2 Å³ per cell
D(E_F) = 3.24 states/eV/f.u.



# 11
Entry from Alexandria via LeMat-Bulk: a geometry-optimized Li2ReNi structure (GGA-PBE).

Cell: 2.6361 2.6361 26.8782 Å, 90.00 90.00 120.00°
Space group R-3m (No. 166, hexagonal axes)
Unique sites:
1 Li 0.0000 0.0000 0.2447
2 Re 0.0000 0.0000 0.0000
3 Ni 0.0000 0.0000 0.5000

## Properties
total energy = -5.308 eV per atom
formation energy from the elements = 0.21 eV/atom
volume = 161.8 Å³ per cell
D(E_F) = 3.43 states/eV/f.u.



# 12
Entry from Alexandria via LeMat-Bulk: a geometry-optimized Tb4Dy3Y structure (GGA-PBE).

Cell: 11.285 7.277 6.294 Å, 90.00 90.00 90.00°
Space group Pmn2_1 (No. 31)
Unique sites:
1 Tb 0.000 0.125 0.000
2 Tb 0.000 0.875 0.499
3 Tb 0.249 0.875 0.832
4 Dy 0.000 0.625 0.000
5 Dy 0.250 0.375 0.833
6 Y 0.000 0.376 0.500

## Properties
total energy = -4.840 eV per atom
formation energy from the elements = 0.01 eV/atom
volume = 516.9 Å³ per cell
D(E_F) = 13.49 states/eV/f.u.